No. 1
Here is crystalline CaTaSe at its relaxed geometry from the Alexandria database. Energies are from GGA-PBEsol.

Unit cell a=3.418 b=3.418 c=6.409 alpha=90.00 beta=90.00 gamma=120.00
Sites, in units of the cell vectors:
Ca 0.000 0.000 0.000
Ta 0.667 0.333 0.401
Se 0.333 0.667 0.660

Properties
Space group: P3m1 (156)
Volume, Å³/cell: 64.9
Total DFT energy (no corrections), eV per cell: -19.57



No. 2
Here is crystalline CaTeSe2 at its relaxed geometry from the Alexandria database. Energies are from GGA-PBEsol.

Unit cell a=4.175 b=4.175 c=6.020 alpha=90.00 beta=90.00 gamma=90.00
Sites, in units of the cell vectors:
Ca 0.000 0.000 0.000
Te 0.500 0.500 0.500
Se 0.000 0.000 0.500
Se 0.500 0.500 0.000

Properties
Space group: P4/mmm (123)
Volume, Å³/cell: 104.9
Total DFT energy (no corrections), eV per cell: -17.24



No. 3
Here is crystalline Ca2Ti2Se at its relaxed geometry from the Alexandria database. Energies are from GGA-PBEsol.

Unit cell a=7.586 b=7.586 c=7.586 alpha=147.73 beta=147.73 gamma=46.29
Sites, in units of the cell vectors:
Ca 0.250 0.750 0.500
Ca 0.750 0.250 0.500
Ti 0.070 0.070 0.000
Ti 0.930 0.930 0.000
Se 0.500 0.500 0.000

Properties
Space group: I4/mmm (139)
Volume, Å³/cell: 124.0
Total DFT energy (no corrections), eV per cell: -21.77



No. 4
Here is crystalline CaTiSe2 at its relaxed geometry from the Alexandria database. Energies are from GGA-PBEsol.

Unit cell a=4.804 b=4.804 c=4.804 alpha=60.00 beta=60.00 gamma=60.00
Sites, in units of the cell vectors:
Ca 0.000 0.000 0.000
Ti 0.500 0.500 0.500
Se 0.250 0.250 0.250
Se 0.750 0.750 0.750

Properties
Space group: Fm-3m (225)
Volume, Å³/cell: 78.4
Total DFT energy (no corrections), eV per cell: -22.71